# Na3Cd2WO6 | the Alexandria database | PBE+U | optimized geometry
data_Na3Cd2WO6
_cell_length_a 5.7316
_cell_length_b 10.0421
_cell_length_c 5.8191
_cell_angle_alpha 90.00
_cell_angle_beta 109.70
_cell_angle_gamma 90.00
_symmetry_space_group_name_H-M 'C 1 2/m 1'
_symmetry_Int_Tables_number 12
loop_
_symmetry_equiv_pos_as_xyz
'x,y,z'
'-x,-y,-z'
'-x,y,-z'
'x,-y,z'
'x+1/2,y+1/2,z'
'-x+1/2,-y+1/2,-z'
'-x+1/2,y+1/2,-z'
'x+1/2,-y+1/2,z'
loop_
_atom_site_label
_atom_site_fract_x
_atom_site_fract_y
_atom_site_fract_z
Na1 0.0000 0.0000 0.0000
Na2 0.0000 0.3277 0.0000
Cd1 0.0000 0.1703 0.5000
W1 0.0000 0.5000 0.5000
O1 0.2124 0.5000 0.2940
O2 0.2205 0.3522 0.7197
# Spin magnetization in μB/cell: 2.00
# Raw total energy in eV per atom: -5.160